1.
Below is a geometry-optimized Sr2SBr structure, with properties calculated at the GGA-PBE level.

Structure (CIF):
```
data_Sr2SBr
_chemical_formula_sum 'Sr2 S1 Br1'
_symmetry_space_group_name_H-M 'P 1'
_symmetry_Int_Tables_number 1
_cell_length_a 5.3242
_cell_length_b 5.3242
_cell_length_c 5.3242
_cell_angle_alpha 60.00
_cell_angle_beta 60.00
_cell_angle_gamma 60.00
loop_
_symmetry_equiv_pos_as_xyz
'x,y,z'
loop_
_atom_site_label
_atom_site_type_symbol
_atom_site_fract_x
_atom_site_fract_y
_atom_site_fract_z
Sr1 Sr 0.2500 0.2500 0.2500
Sr2 Sr 0.7500 0.7500 0.7500
S1 S 0.0000 0.0000 0.0000
Br1 Br 0.5000 0.5000 0.5000
```

Summary:
distance to the lowest polymorph of the same formula	0.286	eV/atom
magnetization	0.00	μB/atom
space-group type	Fm-3m, No. 225
formation energy without anion corrections	-1.49	eV/atom
density	4.5	g cm⁻³

=====

2.
Below is a geometry-optimized MnTl3Sb2Te6 structure, with properties calculated at the GGA-PBE level.

Structure (CIF):
```
data_MnTl3Sb2Te6
_chemical_formula_sum 'Mn1 Tl3 Sb2 Te6'
_symmetry_space_group_name_H-M 'P 1'
_symmetry_Int_Tables_number 1
_cell_length_a 7.5666
_cell_length_b 7.5666
_cell_length_c 8.2656
_cell_angle_alpha 98.76
_cell_angle_beta 98.76
_cell_angle_gamma 119.93
loop_
_symmetry_equiv_pos_as_xyz
'x,y,z'
loop_
_atom_site_label
_atom_site_type_symbol
_atom_site_fract_x
_atom_site_fract_y
_atom_site_fract_z
Mn1 Mn 0.0000 0.0000 0.0000
Tl1 Tl 0.1778 0.8222 0.5000
Tl2 Tl 0.5000 0.5000 0.5000
Tl3 Tl 0.8222 0.1778 0.5000
Sb1 Sb 0.3354 0.6646 0.0000
Sb2 Sb 0.6646 0.3354 0.0000
Te1 Te 0.0677 0.3766 0.2059
Te2 Te 0.2384 0.2384 0.7877
Te3 Te 0.3766 0.0677 0.2059
Te4 Te 0.6234 0.9323 0.7941
Te5 Te 0.7616 0.7616 0.2123
Te6 Te 0.9323 0.6234 0.7941
```

Summary:
magnetization	0.34	μB/atom
space-group type	C2/m, No. 12
formation energy without anion corrections	-0.22	eV/atom
density	7.1	g cm⁻³

=====

3.
Below is a geometry-optimized YBeSi2Ni structure, with properties calculated at the GGA-PBE level.

Structure (CIF):
```
data_YBeSi2Ni
_chemical_formula_sum 'Y1 Be1 Si2 Ni1'
_symmetry_space_group_name_H-M 'P 1'
_symmetry_Int_Tables_number 1
_cell_length_a 5.6092
_cell_length_b 5.6092
_cell_length_c 5.6092
_cell_angle_alpha 139.59
_cell_angle_beta 139.59
_cell_angle_gamma 58.47
loop_
_symmetry_equiv_pos_as_xyz
'x,y,z'
loop_
_atom_site_label
_atom_site_type_symbol
_atom_site_fract_x
_atom_site_fract_y
_atom_site_fract_z
Y1 Y 0.0000 0.0000 0.0000
Be1 Be 0.7500 0.2500 0.5000
Si1 Si 0.3767 0.3767 0.0000
Si2 Si 0.6233 0.6233 0.0000
Ni1 Ni 0.2500 0.7500 0.5000
```

Summary:
magnetization	0.00	μB/atom
space-group type	I-4m2, No. 119
formation energy without anion corrections	-0.70	eV/atom
density	4.8	g cm⁻³

=====

4.
Below is a geometry-optimized IrOsSe structure, with properties calculated at the GGA-PBE level.

Structure (CIF):
```
data_IrOsSe
_chemical_formula_sum 'Ir1 Os1 Se1'
_symmetry_space_group_name_H-M 'P 1'
_symmetry_Int_Tables_number 1
_cell_length_a 2.8987
_cell_length_b 2.8987
_cell_length_c 6.3216
_cell_angle_alpha 90.00
_cell_angle_beta 90.00
_cell_angle_gamma 120.00
loop_
_symmetry_equiv_pos_as_xyz
'x,y,z'
loop_
_atom_site_label
_atom_site_type_symbol
_atom_site_fract_x
_atom_site_fract_y
_atom_site_fract_z
Ir1 Ir 0.0000 0.0000 0.0000
Os1 Os 0.3333 0.6667 0.3399
Se1 Se 0.6667 0.3333 0.6483
```

Summary:
distance to the lowest polymorph of the same formula	0.019	eV/atom
magnetization	0.00	μB/atom
space-group type	P3m1, No. 156
formation energy without anion corrections	0.49	eV/atom
density	16.7	g cm⁻³

=====

5.
Below is a geometry-optimized Cu7Br structure, with properties calculated at the GGA-PBE level.

Structure (CIF):
```
data_Cu7Br
_chemical_formula_sum 'Cu7 Br1'
_symmetry_space_group_name_H-M 'P 1'
_symmetry_Int_Tables_number 1
_cell_length_a 5.3286
_cell_length_b 5.3286
_cell_length_c 5.3286
_cell_angle_alpha 60.00
_cell_angle_beta 60.00
_cell_angle_gamma 60.00
loop_
_symmetry_equiv_pos_as_xyz
'x,y,z'
loop_
_atom_site_label
_atom_site_type_symbol
_atom_site_fract_x
_atom_site_fract_y
_atom_site_fract_z
Cu1 Cu 0.0000 0.0000 0.0000
Cu2 Cu 0.0000 0.0000 0.5000
Cu3 Cu 0.0000 0.5000 0.0000
Cu4 Cu 0.0000 0.5000 0.5000
Cu5 Cu 0.5000 0.0000 0.0000
Cu6 Cu 0.5000 0.0000 0.5000
Cu7 Cu 0.5000 0.5000 0.0000
Br1 Br 0.5000 0.5000 0.5000
```

Summary:
magnetization	0.00	μB/atom
space-group type	Fm-3m, No. 225
formation energy without anion corrections	0.29	eV/atom
density	8.1	g cm⁻³

=====

6.
Below is a geometry-optimized Y2TlFe structure, with properties calculated at the GGA-PBE level.

Structure (CIF):
```
data_Y2TlFe
_chemical_formula_sum 'Y2 Tl1 Fe1'
_symmetry_space_group_name_H-M 'P 1'
_symmetry_Int_Tables_number 1
_cell_length_a 5.0277
_cell_length_b 5.0277
_cell_length_c 5.0277
_cell_angle_alpha 60.00
_cell_angle_beta 60.00
_cell_angle_gamma 60.00
loop_
_symmetry_equiv_pos_as_xyz
'x,y,z'
loop_
_atom_site_label
_atom_site_type_symbol
_atom_site_fract_x
_atom_site_fract_y
_atom_site_fract_z
Y1 Y 0.0000 0.0000 0.0000
Y2 Y 0.2500 0.2500 0.2500
Tl1 Tl 0.7500 0.7500 0.7500
Fe1 Fe 0.5000 0.5000 0.5000
```

Summary:
magnetization	0.26	μB/atom
space-group type	F-43m, No. 216
formation energy	0.204	eV per atom
density	8.1	g cm⁻³